[1]
# ScTe2AuSe

A geometry-optimized ScTe2AuSe structure (GGA-PBE, Alexandria).

The volume is 154 Å³/cell. Its total magnetic moment is 0.04 Bohr magnetons per cell. For the total energy, the calculation gives -3.55 eV/atom. Its uncorrected formation energy is 7.61 kcal/mol of atoms.

The space group is P4/mmm (No. 123) and the conventional cell measures 5.347, 5.347 and 5.371 Å, with angles of 90.00, 90.00 and 90.00 degrees. The inequivalent atoms are Sc at (0.000, 0.000, 0.000), Te at (0.000, 0.500, 0.500), Au at (0.000, 0.000, 0.500) and Se at (0.500, 0.500, 0.000).


[2]
# Tb3Pm3PuTe8

A geometry-optimized Tb3Pm3PuTe8 structure (GGA-PBE, Alexandria).

The volume is 1454 Å³/cell. Its total magnetic moment is 18.69 Bohr magnetons per cell. For the total energy, the calculation gives -5.87 eV/atom. Its uncorrected formation energy is -31.52 kcal/mol of atoms.

The space group is R-3m (No. 166, hexagonal axes) and the conventional cell measures 8.8072, 8.8072 and 21.6385 Å, with angles of 90.00, 90.00 and 120.00 degrees. The inequivalent atoms are Tb at (0.0000, 0.5000, 0.0000), Pm at (0.0000, 0.5000, 0.5000), Pu at (0.0000, 0.0000, 0.0000), Te at (0.0000, 0.0000, 0.2525) and Te at (0.0113, 0.5056, 0.2497).


[3]
# KIrCF2

A geometry-optimized KIrCF2 structure (GGA-PBE, Alexandria).

The volume is 94 Å³/cell. Its total magnetic moment is 3.51 Bohr magnetons per cell. For the total energy, the calculation gives -3.14 eV/atom. Its uncorrected formation energy is 33.28 kcal/mol of atoms.

The space group is P4/mmm (No. 123) and the conventional cell measures 4.125, 4.125 and 5.503 Å, with angles of 90.00, 90.00 and 90.00 degrees. The inequivalent atoms are K at (0.000, 0.000, 0.000), Ir at (0.500, 0.500, 0.000), C at (0.000, 0.000, 0.500) and F at (0.000, 0.500, 0.500).


[4]
# ThZn2Cd2Ag2

A geometry-optimized ThZn2Cd2Ag2 structure (GGA-PBE, Alexandria).

For the formation energy, the calculation gives -66 kJ/mol of formula units. The volume is 445 Å³/cell. Its total magnetic moment is 0.00 Bohr magnetons per cell. For the total energy, the calculation gives -2.60 eV/atom.

The space group is R-3m (No. 166, hexagonal axes) and the conventional cell measures 4.5801, 4.5801 and 24.4949 Å, with angles of 90.00, 90.00 and 120.00 degrees. The inequivalent atoms are Th at (0.0000, 0.0000, 0.0000), Zn at (0.0000, 0.0000, 0.2617), Cd at (0.0000, 0.0000, 0.1387) and Ag at (0.0000, 0.0000, 0.4204).


[5]
# SrLiAcIr

A geometry-optimized SrLiAcIr structure (GGA-PBE, Alexandria).

For the formation energy, the calculation gives -73 kJ/mol of formula units. The volume is 422 Å³/cell. Its total magnetic moment is 0.00 Bohr magnetons per cell. For the total energy, the calculation gives -4.33 eV/atom. As for the offset from the most stable computed form: 0.0859 eV per atom.

The space group is F-43m (No. 216) and the conventional cell measures 7.503, 7.503 and 7.503 Å, with angles of 90.00, 90.00 and 90.00 degrees. The inequivalent atoms are Sr at (0.000, 0.000, 0.000), Li at (0.250, 0.250, 0.750), Ac at (0.000, 0.000, 0.500) and Ir at (0.250, 0.250, 0.250).


[6]
# CaPr2Sn3Rh4

A geometry-optimized CaPr2Sn3Rh4 structure (GGA-PBE, Alexandria).

For the formation energy, the calculation gives -642 kJ/mol of formula units. The volume is 224 Å³/cell. Its total magnetic moment is 0.00 Bohr magnetons per cell. For the total energy, the calculation gives -5.96 eV/atom.

The space group is P-4m2 (No. 115) and the conventional cell measures 4.413, 4.413 and 11.519 Å, with angles of 90.00, 90.00 and 90.00 degrees. The inequivalent atoms are Ca at (0.000, 0.000, 0.000), Pr at (0.000, 0.500, 0.735), Sn at (0.000, 0.500, 0.375), Sn at (0.500, 0.500, 0.000), Rh at (0.000, 0.000, 0.500), Rh at (0.000, 0.500, 0.148) and Rh at (0.500, 0.500, 0.500).


[7]
# PrDyHoMg

A geometry-optimized PrDyHoMg structure (GGA-PBE, Alexandria).

For the formation energy, the calculation gives -10 kJ/mol of formula units. The volume is 123 Å³/cell. Its total magnetic moment is 0.00 Bohr magnetons per cell. For the total energy, the calculation gives -3.91 eV/atom. As for the offset from the most stable computed form: 0.0000 eV per atom.

The space group is P4mm (No. 99) and the conventional cell measures 3.637, 3.637 and 9.263 Å, with angles of 90.00, 90.00 and 90.00 degrees. The inequivalent atoms are Pr at (0.000, 0.000, 0.000), Dy at (0.000, 0.000, 0.469), Ho at (0.500, 0.500, 0.727) and Mg at (0.500, 0.500, 0.243).


[8]
# In2ReHg

A geometry-optimized In2ReHg structure (GGA-PBE, Alexandria).

For the formation energy, the calculation gives 243 kJ/mol of formula units. The volume is 163 Å³/cell. Its total magnetic moment is 0.00 Bohr magnetons per cell. For the total energy, the calculation gives -3.93 eV/atom.

The space group is C2/m (No. 12) and the conventional cell measures 10.538, 2.946 and 5.311 Å, with angles of 90.00, 98.54 and 90.00 degrees. The inequivalent atoms are In at (0.230, 0.000, 0.234), Re at (0.000, 0.500, 0.000) and Hg at (0.000, 0.000, 0.500).